(1)
{
  "formula": "Ce2Dy3Si4",
  "functional": "PBE-GGA",
  "state": "optimized geometry",
  "space_group": "P2_1/c, No. 14",
  "formation_energy_uncorrected_ev_per_atom": -0.705,
  "total_magnetization_mub_per_fu": 2.784,
  "cell": [[7.725, 0.000, 0.000], [0.000, 7.757, 0.000], [-2.163, 0.000, 7.148]],
  "species": ["Ce", "Ce", "Ce", "Ce", "Dy", "Dy", "Dy", "Dy", "Dy", "Dy", "Si", "Si", "Si", "Si", "Si", "Si", "Si", "Si"],
  "fractional_positions": [[0.197, 0.177, 0.083], [0.197, 0.323, 0.583], [0.803, 0.677, 0.417], [0.803, 0.823, 0.917], [0.243, 0.681, 0.253], [0.243, 0.819, 0.753], [0.500, 0.000, 0.500], [0.500, 0.500, 0.000], [0.757, 0.181, 0.247], [0.757, 0.319, 0.747], [0.079, 0.528, 0.877], [0.079, 0.972, 0.377], [0.491, 0.118, 0.878], [0.491, 0.382, 0.378], [0.509, 0.618, 0.622], [0.509, 0.882, 0.122], [0.921, 0.028, 0.623], [0.921, 0.472, 0.123]]
}

(2)
{
  "formula": "CeDy2Si",
  "functional": "PBE-GGA",
  "state": "optimized geometry",
  "space_group": "R-3m, No. 166",
  "formation_energy_uncorrected_ev_per_atom": 0.027,
  "total_magnetization_mub_per_fu": 1.007,
  "cell": [[1.736, 1.002, 10.781], [-1.736, 1.002, 10.781], [0.000, -2.004, 10.781]],
  "species": ["Ce", "Dy", "Dy", "Si"],
  "fractional_positions": [[0.000, 0.000, 0.000], [0.104, 0.104, 0.104], [0.896, 0.896, 0.896], [0.500, 0.500, 0.500]]
}

(3)
{
  "formula": "CeDySi",
  "functional": "PBE-GGA",
  "state": "optimized geometry",
  "space_group": "P2/m, No. 10",
  "formation_energy_uncorrected_ev_per_atom": -0.244,
  "total_magnetization_mub_per_fu": 0.000,
  "cell": [[6.537, 0.000, 0.000], [0.000, 3.220, 0.000], [-1.396, 0.000, 6.864]],
  "species": ["Ce", "Ce", "Dy", "Dy", "Si", "Si"],
  "fractional_positions": [[0.062, 0.000, 0.323], [0.938, 0.000, 0.677], [0.455, 0.000, 0.754], [0.545, 0.000, 0.246], [0.202, 0.500, 0.999], [0.798, 0.500, 0.001]]
}

(4)
{
  "formula": "CeDySi3",
  "functional": "PBE-GGA",
  "state": "optimized geometry",
  "space_group": "Cmcm, No. 63",
  "formation_energy_uncorrected_ev_per_atom": -0.729,
  "total_magnetization_mub_per_fu": 0.000,
  "cell": [[2.112, -12.267, 0.000], [2.112, 12.267, 0.000], [0.000, 0.000, 3.956]],
  "species": ["Ce", "Ce", "Dy", "Dy", "Si", "Si", "Si", "Si", "Si", "Si"],
  "fractional_positions": [[0.071, 0.929, 0.750], [0.929, 0.071, 0.250], [0.202, 0.798, 0.250], [0.798, 0.202, 0.750], [0.323, 0.677, 0.250], [0.381, 0.619, 0.750], [0.475, 0.525, 0.750], [0.525, 0.475, 0.250], [0.619, 0.381, 0.250], [0.677, 0.323, 0.750]]
}

(5)
{
  "formula": "CeSmDy4",
  "functional": "PBE-GGA",
  "state": "optimized geometry",
  "space_group": "C2/m, No. 12",
  "e_tot_ev_per_atom": -4.621,
  "total_magnetization_mub_per_fu": 1.265,
  "cell": [[5.707, -1.683, 0.000], [5.707, 1.683, 0.000], [-5.385, 0.000, 10.069]],
  "species": ["Ce", "Sm", "Dy", "Dy", "Dy", "Dy"],
  "fractional_positions": [[0.000, 0.000, 0.000], [0.500, 0.500, 0.500], [0.157, 0.157, 0.340], [0.343, 0.343, 0.155], [0.657, 0.657, 0.845], [0.843, 0.843, 0.660]]
}

(6)
{
  "formula": "CeSm2Dy",
  "functional": "PBE-GGA",
  "state": "optimized geometry",
  "space_group": "P4/mmm, No. 123",
  "e_tot_ev_per_atom": -4.920,
  "total_magnetization_mub_per_fu": 0.624,
  "cell": [[5.052, 0.000, 0.000], [0.000, 5.052, 0.000], [0.000, 0.000, 5.062]],
  "species": ["Ce", "Sm", "Sm", "Dy"],
  "fractional_positions": [[0.000, 0.000, 0.000], [0.000, 0.500, 0.500], [0.500, 0.000, 0.500], [0.500, 0.500, 0.000]]
}